Record 1
A plane-wave DFT calculation with PBE was carried out for an optimized crystal structure of RbYI2Cl.

Cell and atoms, written as extended XYZ:
```
5
Lattice="-0.3600 -4.1780 -4.4628 1.8043 -4.3440 3.9212 -5.0810 -0.9432 1.2930" Properties=species:S:1:pos:R:3 pbc="T T T"
I 0.9021 -2.1720 1.9606
I -0.1800 -2.0890 -2.2314
Y 0.0000 0.0000 0.0000
Rb -1.8184 -4.7326 0.3757
Cl -2.5405 -0.4716 0.6465
```

## Properties
- Volume: 39.955 Å³ per atom
- Formation energy without anion corrections: -1.44 eV per atom
- VASP energy: -19.559 eV/f.u.
- DOS at the Fermi energy: 2.6 states/eV/cell
- Space group: No. 123


Record 2
A plane-wave DFT calculation with PBE was carried out for an optimized crystal structure of Rb2YICl6.

Cell and atoms, written as extended XYZ:
```
10
Lattice="-3.2908 -2.5068 7.7478 -1.7577 -7.9409 -3.3158 2.2234 -6.8914 3.6929" Properties=species:S:1:pos:R:3 pbc="T T T"
I 0.0000 0.0000 0.0000
Y -2.5242 -5.2239 2.2160
Rb -1.7958 -7.3110 6.8284
Rb -1.0292 -10.0281 1.2965
Cl -0.0740 -6.0845 2.9782
Cl -2.7510 -11.2547 5.1467
Cl -1.4651 -3.0320 1.2862
Cl -3.5834 -7.4157 3.1458
Cl -2.8459 -4.0838 4.5371
Cl -2.2026 -6.3639 -0.1051
```

## Properties
- Volume: 40.455 Å³ per atom
- Formation energy without anion corrections: -1.61 eV per atom
- VASP energy: -37.173 eV/f.u.
- DOS at the Fermi energy: 0.0 states/eV/cell
- Space group: No. 139


Record 3
A plane-wave DFT calculation with PBE was carried out for an optimized crystal structure of Rb2ZnI6Cl.

Cell and atoms, written as extended XYZ:
```
10
Lattice="8.5978 0.0000 0.0000 0.0000 8.5978 0.0000 4.2989 4.2989 5.9410" Properties=species:S:1:pos:R:3 pbc="T T T"
I 4.2989 4.2989 2.6650
I 8.5978 8.5978 3.2760
I 1.9035 1.9035 0.0000
I 6.6943 6.6943 0.0000
I 6.6943 1.9035 0.0000
I 1.9035 6.6943 0.0000
Zn 0.0000 0.0000 0.0000
Rb 8.5978 4.2989 2.9705
Rb 4.2989 8.5978 2.9705
Cl 4.2989 4.2989 0.0000
```

## Properties
- Volume: 43.917 Å³ per atom
- Formation energy without anion corrections: -0.63 eV per atom
- VASP energy: -20.630 eV/f.u.
- DOS at the Fermi energy: 6.4 states/eV/cell
- Space group: No. 139


Record 4
A plane-wave DFT calculation with PBE was carried out for an optimized crystal structure of RbZnI2Cl.

Cell and atoms, written as extended XYZ:
```
5
Lattice="5.8368 0.0000 0.0000 0.0000 5.8368 0.0000 0.0000 0.0000 4.9627" Properties=species:S:1:pos:R:3 pbc="T T T"
I 0.0000 2.9184 0.0000
I 2.9184 0.0000 0.0000
Zn 0.0000 0.0000 0.0000
Rb 2.9184 2.9184 2.4814
Cl 0.0000 0.0000 2.4814
```

## Properties
- Volume: 33.814 Å³ per atom
- Formation energy without anion corrections: -0.98 eV per atom
- VASP energy: -12.103 eV/f.u.
- DOS at the Fermi energy: 0.8 states/eV/cell
- Space group: No. 123


> Which of these has the lowest DOS at the Fermi energy?

Rb2YICl6


> Which formula does entry 3 have?

Rb2ZnI6Cl


> What is the formula in the third record?

Rb2ZnI6Cl


> Which value of volume does entry 3 give?

43.917 Å³ per atom